DFT (PBE) results for BiAsPd after structural relaxation.

Cell and atoms, written as POSCAR:
```
BiAsPd
1.0
6.449 0.000 0.000
0.000 6.449 0.000
0.000 0.000 6.449
Bi As Pd
4 4 4
Direct
0.126 0.374 0.626 Bi
0.374 0.626 0.126 Bi
0.626 0.126 0.374 Bi
0.874 0.874 0.874 Bi
0.125 0.125 0.125 As
0.375 0.875 0.625 As
0.625 0.375 0.875 As
0.875 0.625 0.375 As
0.021 0.979 0.479 Pd
0.479 0.021 0.979 Pd
0.521 0.521 0.521 Pd
0.979 0.479 0.021 Pd
```

* total energy: -4.8213 eV per atom
* energy above the most stable polymorph in this dataset: 0.0 meV per atom
* E_form: -0.741 eV per formula unit

=====

DFT (PBE) results for HfMnCo2B after structural relaxation.

Cell and atoms, written as POSCAR:
```
HfMnCo2B
1.0
3.857 0.000 0.000
0.000 3.857 0.000
0.000 0.000 3.947
Hf Mn Co B
1 1 2 1
Direct
0.000 0.000 0.000 Hf
0.500 0.500 0.000 Mn
0.000 0.500 0.500 Co
0.500 0.000 0.500 Co
0.500 0.500 0.500 B
```

* total energy: -8.3444 eV per atom
* E_form: -1.710 eV per formula unit

=====

DFT (PBE) results for PaSnMo after structural relaxation.

Cell and atoms, written as POSCAR:
```
PaSnMo
1.0
4.999 0.000 0.000
-2.499 4.329 0.000
0.000 0.000 3.001
Pa Sn Mo
1 1 1
Direct
0.000 0.000 0.000 Pa
0.333 0.667 0.500 Sn
0.667 0.333 0.500 Mo
```

* total energy: -7.9655 eV per atom
* energy above the most stable polymorph in this dataset: 123.3 meV per atom
* E_form: 0.433 eV per formula unit

=====

DFT (PBE) results for K4NaAs2 after structural relaxation.

Cell and atoms, written as POSCAR:
```
K4NaAs2
1.0
2.869 1.656 10.280
-2.869 1.656 10.280
0.000 -3.313 10.280
K Na As
4 1 2
Direct
0.099 0.099 0.099 K
0.297 0.297 0.297 K
0.703 0.703 0.703 K
0.901 0.901 0.901 K
0.500 0.500 0.500 Na
0.408 0.408 0.408 As
0.592 0.592 0.592 As
```

* total energy: -2.4184 eV per atom
* E_form: -1.920 eV per formula unit

=====

DFT (PBE) results for Mg2Sc3Co after structural relaxation.

Cell and atoms, written as POSCAR:
```
Mg2Sc3Co
1.0
2.507 -7.961 0.000
2.507 7.961 0.000
0.000 0.000 3.304
Mg Sc Co
2 3 1
Direct
0.198 0.802 0.000 Mg
0.802 0.198 0.000 Mg
0.000 0.000 0.000 Sc
0.383 0.617 0.500 Sc
0.617 0.383 0.500 Sc
0.500 0.500 0.000 Co
```

* total energy: -4.9609 eV per atom
* E_form: -0.475 eV per formula unit

=====

DFT (PBE) results for Zr2TcPt after structural relaxation.

Cell and atoms, written as POSCAR:
```
Zr2TcPt
1.0
1.648 0.951 8.182
-1.648 0.951 8.182
0.000 -1.903 8.182
Zr Tc Pt
2 1 1
Direct
0.248 0.248 0.248 Zr
0.752 0.752 0.752 Zr
0.500 0.500 0.500 Tc
0.000 0.000 0.000 Pt
```

* total energy: -8.7158 eV per atom
* E_form: -1.360 eV per formula unit

=====

DFT (PBE) results for RbHf3Zr after structural relaxation.

Cell and atoms, written as POSCAR:
```
RbHf3Zr
1.0
5.392 0.000 0.000
0.000 5.392 0.000
0.000 0.000 5.392
Rb Hf Zr
1 3 1
Direct
0.000 0.000 0.000 Rb
0.000 0.500 0.500 Hf
0.500 0.000 0.500 Hf
0.500 0.500 0.000 Hf
0.500 0.500 0.500 Zr
```

* total energy: -6.5475 eV per atom
* energy above the most stable polymorph in this dataset: 0.0 meV per atom
* E_form: 6.638 eV per formula unit

=====

DFT (PBE) results for LiLa5Ti8O24 after structural relaxation.

Cell and atoms, written as POSCAR:
```
LiLa5Ti8O24
1.0
7.856 0.000 0.000
0.000 7.762 0.000
-0.040 0.000 7.878
Li La Ti O
1 5 8 24
Direct
0.000 0.000 0.000 Li
0.000 0.500 0.177 La
0.000 0.500 0.673 La
0.489 0.000 0.171 La
0.500 0.000 0.671 La
0.501 0.500 0.657 La
0.243 0.244 0.419 Ti
0.243 0.756 0.419 Ti
0.247 0.252 0.927 Ti
0.247 0.748 0.927 Ti
0.746 0.248 0.924 Ti
0.746 0.752 0.924 Ti
0.752 0.247 0.415 Ti
0.752 0.753 0.415 Ti
0.231 0.500 0.414 O
0.235 0.000 0.910 O
0.240 0.500 0.967 O
0.243 0.217 0.187 O
0.243 0.783 0.187 O
0.252 0.294 0.690 O
0.252 0.706 0.690 O
0.266 0.000 0.466 O
0.490 0.254 0.449 O
0.490 0.746 0.449 O
0.492 0.221 0.934 O
0.492 0.779 0.934 O
0.711 0.000 0.403 O
0.729 0.223 0.689 O
0.729 0.777 0.689 O
0.736 0.500 0.889 O
0.747 0.500 0.480 O
0.748 0.287 0.187 O
0.748 0.713 0.187 O
0.750 0.000 0.975 O
0.991 0.270 0.440 O
0.991 0.730 0.440 O
0.992 0.268 0.938 O
0.992 0.732 0.938 O
```

* total energy: -8.6737 eV per atom
* E_form (uncorrected): -3181 meV per atom
* energy above the most stable polymorph in this dataset: 17.5 meV per atom

=====

DFT (PBE) results for Pm3Zn8Hg after structural relaxation.

Cell and atoms, written as POSCAR:
```
Pm3Zn8Hg
1.0
2.763 1.595 9.014
-2.763 1.595 9.014
0.000 -3.190 9.014
Pm Zn Hg
3 8 1
Direct
0.000 0.000 0.000 Pm
0.127 0.127 0.127 Pm
0.614 0.614 0.614 Pm
0.052 0.562 0.562 Zn
0.062 0.062 0.559 Zn
0.062 0.559 0.062 Zn
0.311 0.311 0.311 Zn
0.559 0.062 0.062 Zn
0.562 0.052 0.562 Zn
0.562 0.562 0.052 Zn
0.810 0.810 0.810 Zn
0.492 0.492 0.492 Hg
```

* total energy: -2.3329 eV per atom
* E_form: -3.250 eV per formula unit

=====

DFT (PBE) results for CrHgRu2 after structural relaxation.

Cell and atoms, written as POSCAR:
```
CrHgRu2
1.0
4.607 -1.421 0.000
4.607 1.421 0.000
-1.216 0.000 4.696
Cr Hg Ru
1 1 2
Direct
0.000 0.000 0.000 Cr
0.500 0.500 0.500 Hg
0.273 0.273 0.788 Ru
0.727 0.727 0.212 Ru
```

* total energy: -6.7134 eV per atom
* E_form: 1.623 eV per formula unit

=====

DFT (PBE) results for B2H2F7 after structural relaxation.

Cell and atoms, written as POSCAR:
```
B2H2F7
1.0
3.563 -3.797 0.000
3.563 3.797 0.000
-1.641 0.000 5.708
B H F
2 2 7
Direct
0.225 0.225 0.117 B
0.775 0.775 0.883 B
0.050 0.950 0.500 H
0.950 0.050 0.500 H
0.000 0.000 0.000 F
0.115 0.416 0.250 F
0.303 0.303 0.927 F
0.416 0.115 0.250 F
0.584 0.885 0.750 F
0.697 0.697 0.073 F
0.885 0.584 0.750 F
```

* total energy: -4.9724 eV per atom

=====

DFT (PBE) results for ZrGaOs after structural relaxation.

Cell and atoms, written as POSCAR:
```
ZrGaOs
1.0
2.447 -6.746 0.000
2.447 6.746 0.000
0.000 0.000 3.221
Zr Ga Os
2 2 2
Direct
0.163 0.837 0.000 Zr
0.837 0.163 0.000 Zr
0.252 0.252 0.500 Ga
0.748 0.748 0.500 Ga
0.329 0.671 0.500 Os
0.671 0.329 0.500 Os
```

* total energy: -7.9706 eV per atom
* E_form: -1.107 eV per formula unit

=====

> What is the total energy in the eleventh record?

-4.9724 eV per atom

=====

Copy entry 4 word for word.
DFT (PBE) results for K4NaAs2 after structural relaxation.

Cell and atoms, written as POSCAR:
```
K4NaAs2
1.0
2.869 1.656 10.280
-2.869 1.656 10.280
0.000 -3.313 10.280
K Na As
4 1 2
Direct
0.099 0.099 0.099 K
0.297 0.297 0.297 K
0.703 0.703 0.703 K
0.901 0.901 0.901 K
0.500 0.500 0.500 Na
0.408 0.408 0.408 As
0.592 0.592 0.592 As
```

* total energy: -2.4184 eV per atom
* E_form: -1.920 eV per formula unit

=====

Repeat the fourth record exactly.
DFT (PBE) results for K4NaAs2 after structural relaxation.

Cell and atoms, written as POSCAR:
```
K4NaAs2
1.0
2.869 1.656 10.280
-2.869 1.656 10.280
0.000 -3.313 10.280
K Na As
4 1 2
Direct
0.099 0.099 0.099 K
0.297 0.297 0.297 K
0.703 0.703 0.703 K
0.901 0.901 0.901 K
0.500 0.500 0.500 Na
0.408 0.408 0.408 As
0.592 0.592 0.592 As
```

* total energy: -2.4184 eV per atom
* E_form: -1.920 eV per formula unit